Compound: CaPr3Sm3
Source: Alexandria via LeMat-Bulk
Functional: PBE-GGA
Structure: optimized geometry

Cell lengths 8.8674, 8.8674, 22.9487 Å; angles 90.00, 90.00, 120.00 degrees
Closest atoms and distances in Å follow each position.
Space group R-3 (No. 148, hexagonal axes)
Asymmetric unit:
Ca 0.0000 0.0000 0.1551  6 Sm 3.64-3.90, 6 Pr 3.80-3.95
Pr 0.0524 0.6040 0.3785  4 Sm 3.41-3.72, 2 Pr 3.68, 1 Ca 3.80
Sm 0.0065 0.7749 0.5590  4 Sm 3.38-3.51, 4 Pr 3.41-3.72, 1 Ca 3.64

Values from the calculation:
VASP energy ... -4.15 eV/atom
Total magnetic moment ... 0.0 μB/f.u.
Relative energy among the computed polymorphs ... 0 meV per atom
Formation enthalpy at 0 K ... 20 kJ per mole of atoms



Compound: CaPr5Sm5
Source: Alexandria via LeMat-Bulk
Functional: PBE-GGA
Structure: optimized geometry

Cell lengths 6.3160, 6.3160, 11.7637 Å; angles 90.00, 90.00, 120.00 degrees
Closest atoms and distances in Å follow each position.
Space group P-6m2 (No. 187)
Asymmetric unit:
Ca 0.0000 0.0000 0.0000  5 Pr 3.65-3.73
Pr 0.0000 0.0000 0.3168  9 Sm 3.69-3.82, 1 Ca 3.73, 3 Pr 4.04
Pr 0.3333 0.6667 0.1689  3 Sm 3.82, 7 Pr 3.97-4.15, 3 Ca 4.15
Pr 0.6667 0.3333 0.0000  2 Sm 3.13
Sm 0.0036 0.5018 0.5000  6 Sm 3.12-3.31
Sm 0.6667 0.3333 0.2662  1 Pr 3.13, 3 Sm 3.31

Values from the calculation:
VASP energy ... -4.23 eV/atom
Total magnetic moment ... 0.0 μB/f.u.
Formation enthalpy at 0 K ... 26 kJ per mole of atoms



Compound: Ca2Pr12Sm5
Source: Alexandria via LeMat-Bulk
Functional: PBE-GGA
Structure: optimized geometry

Cell lengths 13.3080, 11.9331, 9.6523 Å; angles 90.00, 116.02, 90.00 degrees
Closest atoms and distances in Å follow each position.
Space group C2/m (No. 12)
Asymmetric unit:
Ca 0.0000 0.2296 0.0000  10 Pr 3.64-3.86, 2 Sm 3.75
Pr 0.0777 0.0000 0.7818  5 Pr 3.38-3.74, 2 Sm 3.50-3.66
Pr 0.1081 0.2225 0.4223  4 Pr 3.35-3.68, 3 Sm 3.64-3.74, 1 Ca 3.68
Pr 0.1197 0.5000 0.9384  4 Sm 3.51-3.85, 4 Pr 3.54-3.86, 2 Ca 3.76
Pr 0.1962 0.2537 0.8031  5 Pr 3.35-3.68, 1 Sm 3.40, 1 Ca 3.64
Sm 0.0000 0.5000 0.5000  4 Sm 3.59-3.77, 6 Pr 3.81
Sm 0.1908 0.0000 0.2357  6 Pr 3.40-3.64, 2 Sm 3.73-3.77, 2 Ca 3.75
Sm 0.1952 0.5000 0.3356  9 Pr 3.51-3.85, 2 Sm 3.59-3.73

Values from the calculation:
VASP energy ... -4.35 eV/atom
Total magnetic moment ... 0.0 μB/f.u.
Formation enthalpy at 0 K ... 11 kJ per mole of atoms